(1)
DFT (GGA-PBE) results for a relaxed TiSiPO2 crystal.

Computed properties:
- E_tot (eV per atom) = -6.90
- formation energy from raw total energies (eV per atom) = -1.17

abc: 3.718 3.718 5.339
angles: 90.00 90.00 90.00
Sites, in units of the cell vectors:
Ti (0.000, 0.000, 0.000)
O (0.000, 0.500, 0.000)
O (0.500, 0.000, 0.000)
Si (0.500, 0.500, 0.500)
P (0.000, 0.000, 0.500)


(2)
DFT (GGA-PBE) results for a relaxed KSr2Cl crystal.

Computed properties:
- E_tot (eV per atom) = -2.29
- formation energy from raw total energies (eV per atom) = -0.71

abc: 4.022 4.249 11.678
angles: 89.90 90.00 90.00
Sites, in units of the cell vectors:
K (0.500, 0.750, 0.750)
Sr (0.000, 0.250, 0.051)
Sr (0.000, 0.250, 0.449)
Cl (0.500, 0.250, 0.250)